The following is a GGA-PBE calculation of an optimized crystal structure of LaPmDy5Tm2, from Alexandria.

a = 5.5986 Å, b = 10.2156 Å, c = 10.7730 Å
α = 90.00°, β = 90.00°, γ = 105.90°
Last column: nearest neighbours and their distance in Å.
Sites, in units of the cell vectors:
La  0.7930  0.5861  0.5075  2 Tm 3.50-3.83, 8 Dy 3.52-3.71, 2 Pm 3.76
La  0.2070  0.4139  0.0075  2 Tm 3.50-3.83, 8 Dy 3.52-3.71, 2 Pm 3.76
Pm  0.5827  0.1655  0.9532  5 Dy 3.07-3.28
Pm  0.4173  0.8345  0.4532  5 Dy 3.07-3.28
Dy  0.3953  0.7905  0.0264  5 Dy 3.39-3.70, 4 Tm 3.57-3.62, 1 La 3.71, 1 Pm 3.77
Dy  0.7154  0.4308  0.8029  1 Pm 3.07, 1 Tm 3.34, 2 Dy 3.39
Dy  0.4768  0.9536  0.7379  2 Pm 3.12-3.28, 1 Dy 3.39, 2 Tm 3.45
Dy  0.2969  0.5937  0.7049  3 Dy 3.39-3.55, 3 La 3.52-3.71, 3 Tm 3.52-3.75, 1 Pm 3.60
Dy  0.9816  0.9633  0.5304  2 Pm 3.18, 2 Tm 3.33-3.45
Dy  0.6047  0.2095  0.5264  5 Dy 3.39-3.70, 4 Tm 3.57-3.62, 1 La 3.71, 1 Pm 3.77
Dy  0.2846  0.5692  0.3029  1 Pm 3.07, 1 Tm 3.34, 2 Dy 3.39
Dy  0.5232  0.0464  0.2379  2 Pm 3.12-3.28, 1 Dy 3.39, 2 Tm 3.45
Dy  0.7031  0.4063  0.2049  3 Dy 3.39-3.55, 3 La 3.52-3.71, 3 Tm 3.52-3.75, 1 Pm 3.60
Dy  0.0184  0.0367  0.0304  2 Pm 3.18, 2 Tm 3.33-3.45
Tm  0.8850  0.7701  0.8215  9 Dy 3.34-3.67
Tm  0.1068  0.2136  0.7392  6 Dy 3.33-3.62, 1 La 3.50, 2 Pm 3.66
Tm  0.1150  0.2299  0.3215  9 Dy 3.34-3.67
Tm  0.8932  0.7864  0.2392  6 Dy 3.33-3.62, 1 La 3.50, 2 Pm 3.66

## Properties
**E_tot**: -80.4 eV for the cell shown
**SG**: Cmc2_1, No. 36
**M_tot**: 0.0 μB/f.u.
**Fermi-level density of states**: 14.0 states/eV/f.u.

---

The following is a GGA-PBE calculation of an optimized crystal structure of La2PmDy6Tm3, from Alexandria.

a = 6.1928 Å, b = 6.1928 Å, c = 11.8304 Å
α = 95.01°, β = 95.01°, γ = 120.00°
Last column: nearest neighbours and their distance in Å.
Sites, in units of the cell vectors:
La  0.3336  0.6664  0.0000  3 La 3.57-3.58, 3 Pm 3.57-3.58, 6 Dy 3.63-3.64
La  0.6664  0.3336  0.0000  3 La 3.57-3.58, 3 Pm 3.57-3.58, 6 Dy 3.63-3.64
Pm  0.0000  0.0000  0.0000  6 La 3.57-3.58, 6 Dy 3.63
Dy  0.9136  0.5808  0.7435  3 Tm 3.51, 6 Dy 3.57-3.58, 2 La 3.63-3.64, 1 Pm 3.63
Dy  0.7538  0.7538  0.2565  3 Tm 3.50-3.51, 6 Dy 3.57-3.58, 1 Pm 3.63, 2 La 3.63
Dy  0.0864  0.4192  0.2565  3 Tm 3.51, 6 Dy 3.57-3.58, 2 La 3.63-3.64, 1 Pm 3.63
Dy  0.5808  0.9136  0.7435  3 Tm 3.51, 6 Dy 3.57-3.58, 2 La 3.63-3.64, 1 Pm 3.63
Dy  0.2462  0.2462  0.7435  3 Tm 3.50-3.51, 6 Dy 3.57-3.58, 1 Pm 3.63, 2 La 3.63
Dy  0.4192  0.0864  0.2565  3 Tm 3.51, 6 Dy 3.57-3.58, 2 La 3.63-3.64, 1 Pm 3.63
Tm  0.1665  0.8335  0.5000  6 Dy 3.50-3.51, 6 Tm 3.57-3.58
Tm  0.8335  0.1665  0.5000  6 Dy 3.50-3.51, 6 Tm 3.57-3.58
Tm  0.5000  0.5000  0.5000  6 Dy 3.51, 6 Tm 3.57-3.58

## Properties
**E_tot**: -55.3 eV for the cell shown
**SG**: C2/m, No. 12
**M_tot**: 0.0 μB/f.u.
**Fermi-level density of states**: 17.0 states/eV/f.u.

---

The following is a GGA-PBE calculation of an optimized crystal structure of La4Pm2Dy2Tm, from Alexandria.

a = 5.1939 Å, b = 8.2034 Å, c = 8.1110 Å
α = 107.76°, β = 90.00°, γ = 108.46°
Last column: nearest neighbours and their distance in Å.
Sites, in units of the cell vectors:
La  0.7770  0.5540  0.6695  3 Dy 3.62-3.63, 1 Tm 3.64, 3 Pm 3.65-3.70, 5 La 3.68-3.69
La  0.2230  0.4460  0.3305  3 Dy 3.62-3.63, 1 Tm 3.64, 3 Pm 3.65-3.70, 5 La 3.68-3.69
La  0.5541  0.1082  0.3286  2 Dy 3.61-3.63, 2 Tm 3.62, 4 Pm 3.67-3.70, 4 La 3.68-3.69
La  0.4459  0.8918  0.6714  2 Dy 3.61-3.63, 2 Tm 3.62, 4 Pm 3.67-3.70, 4 La 3.68-3.69
Pm  0.8878  0.7756  0.3286  3 Dy 3.61-3.62, 1 Tm 3.63, 7 La 3.65-3.70, 1 Pm 3.70
Pm  0.1122  0.2244  0.6714  3 Dy 3.61-3.62, 1 Tm 3.63, 7 La 3.65-3.70, 1 Pm 3.70
Dy  0.3333  0.6666  0.9999  5 La 3.61-3.63, 3 Pm 3.61-3.62, 2 Dy 3.67, 2 Tm 3.67
Dy  0.6667  0.3334  0.0001  5 La 3.61-3.63, 3 Pm 3.61-3.62, 2 Dy 3.67, 2 Tm 3.67
Tm  0.0000  0.0000  0.0000  6 La 3.62-3.64, 2 Pm 3.63, 4 Dy 3.67

## Properties
**E_tot**: -42.6 eV for the cell shown
**SG**: C2/m, No. 12
**M_tot**: 0.0 μB/f.u.
**Fermi-level density of states**: 16.6 states/eV/f.u.

---

The following is a GGA-PBE calculation of an optimized crystal structure of LaPmDyTm, from Alexandria.

a = 5.7506 Å, b = 5.7506 Å, c = 5.7506 Å
α = 60.00°, β = 60.00°, γ = 60.00°
Last column: nearest neighbours and their distance in Å.
Sites, in units of the cell vectors:
Tm  0.2500  0.2500  0.2500  4 La 3.52, 4 Pm 3.52
Pm  0.0000  0.0000  0.0000  4 Tm 3.52, 4 Dy 3.52
La  0.5000  0.5000  0.5000  4 Dy 3.52, 4 Tm 3.52
Dy  0.7500  0.7500  0.7500  4 La 3.52, 4 Pm 3.52

## Properties
**E_tot**: -18.4 eV for the cell shown
**SG**: F-43m, No. 216
**M_tot**: 0.0 μB/f.u.
**Energy above the lowest structure with this stoichiometry**: 0.000 eV per atom
**Fermi-level density of states**: 7.3 states/eV/f.u.

---

The following is a GGA-PBE calculation of an optimized crystal structure of LaPm6Dy2Tm3, from Alexandria.

a = 6.2491 Å, b = 6.2491 Å, c = 11.8762 Å
α = 95.02°, β = 95.02°, γ = 120.00°
Last column: nearest neighbours and their distance in Å.
Sites, in units of the cell vectors:
La  0.0000  0.0000  0.0000  6 Dy 3.61, 6 Pm 3.63
Pm  0.9149  0.5805  0.7461  3 Tm 3.55-3.56, 6 Pm 3.60-3.62, 2 Dy 3.62-3.63, 1 La 3.63
Pm  0.7508  0.7508  0.2542  3 Tm 3.55, 6 Pm 3.60-3.62, 2 Dy 3.63, 1 La 3.63
Pm  0.0851  0.4195  0.2539  3 Tm 3.55-3.56, 6 Pm 3.60-3.62, 2 Dy 3.62-3.63, 1 La 3.63
Pm  0.5805  0.9149  0.7461  3 Tm 3.55-3.56, 6 Pm 3.60-3.62, 2 Dy 3.62-3.63, 1 La 3.63
Pm  0.2492  0.2492  0.7458  3 Tm 3.55, 6 Pm 3.60-3.62, 2 Dy 3.63, 1 La 3.63
Pm  0.4195  0.0851  0.2539  3 Tm 3.55-3.56, 6 Pm 3.60-3.62, 2 Dy 3.62-3.63, 1 La 3.63
Dy  0.3335  0.6665  0.0000  3 Dy 3.60-3.61, 3 La 3.61, 6 Pm 3.62-3.63
Dy  0.6665  0.3335  0.0000  3 Dy 3.60-3.61, 3 La 3.61, 6 Pm 3.62-3.63
Tm  0.1671  0.8329  0.5000  6 Pm 3.55-3.56, 6 Tm 3.60-3.62
Tm  0.8329  0.1671  0.5000  6 Pm 3.55-3.56, 6 Tm 3.60-3.62
Tm  0.5000  0.5000  0.5000  6 Pm 3.55, 6 Tm 3.60-3.61

## Properties
**E_tot**: -55.8 eV for the cell shown
**SG**: C2/m, No. 12
**M_tot**: 0.0 μB/f.u.
**Fermi-level density of states**: 15.0 states/eV/f.u.

---

The following is a GGA-PBE calculation of an optimized crystal structure of La6PmDyTm2, from Alexandria.

a = 8.9340 Å, b = 7.1783 Å, c = 6.7157 Å
α = 122.31°, β = 101.08°, γ = 90.00°
Last column: nearest neighbours and their distance in Å.
Sites, in units of the cell vectors:
La  0.4397  0.6407  0.2814  5 La 3.60-3.78, 1 Dy 3.89, 3 Pm 3.99-4.01
La  0.1934  0.0401  0.6386  2 La 3.17-3.48, 2 Tm 3.25-3.52, 1 Pm 3.42
La  0.8066  0.4015  0.3614  2 La 3.17-3.48, 2 Tm 3.25-3.52, 1 Pm 3.42
La  0.1934  0.5985  0.6386  2 La 3.17-3.48, 2 Tm 3.25-3.52, 1 Pm 3.42
La  0.8066  0.9599  0.3614  2 La 3.17-3.48, 2 Tm 3.25-3.52, 1 Pm 3.42
La  0.5603  0.3593  0.7186  5 La 3.60-3.78, 1 Dy 3.89, 3 Pm 3.99-4.01
Pm  0.5000  0.0000  0.0000  2 Tm 3.41, 4 La 3.42
Dy  0.0000  0.5000  0.0000  10 La 3.58-3.97, 4 Tm 3.91
Tm  0.1610  0.0895  0.1790  1 Tm 3.12, 2 La 3.25, 1 Pm 3.41
Tm  0.8390  0.9105  0.8210  1 Tm 3.12, 2 La 3.25, 1 Pm 3.41

## Properties
**E_tot**: -45.9 eV for the cell shown
**SG**: C2/m, No. 12
**M_tot**: 0.0 μB/f.u.
**Fermi-level density of states**: 18.1 states/eV/f.u.

---

The following is a GGA-PBE calculation of an optimized crystal structure of LaPm2Dy5Tm, from Alexandria.

a = 8.7812 Å, b = 8.7812 Å, c = 9.9081 Å
α = 116.30°, β = 116.30°, γ = 90.00°
Last column: nearest neighbours and their distance in Å.
Sites, in units of the cell vectors:
La  0.2500  0.2500  0.5000  10 Dy 3.61-3.86
La  0.7500  0.7500  0.5000  10 Dy 3.61-3.86
Pm  0.1164  0.3836  0.0000  1 Pm 2.89, 2 Dy 3.02
Pm  0.6164  0.1164  0.0000  1 Pm 2.89, 2 Dy 3.02
Pm  0.3836  0.8836  0.0000  1 Pm 2.89, 2 Dy 3.02
Pm  0.8836  0.6164  0.0000  1 Pm 2.89, 2 Dy 3.02
Dy  0.9275  0.4275  0.2718  1 Pm 3.02, 1 Tm 3.13
Dy  0.6557  0.1557  0.7282  1 Pm 3.02, 1 Tm 3.13
Dy  0.0725  0.5725  0.7282  1 Pm 3.02, 1 Tm 3.13
Dy  0.1557  0.0725  0.7282  1 Pm 3.02, 1 Tm 3.13
Dy  0.5725  0.6557  0.7282  1 Pm 3.02, 1 Tm 3.13
Dy  0.8443  0.9275  0.2718  1 Pm 3.02, 1 Tm 3.13
Dy  0.4275  0.3443  0.2718  1 Pm 3.02, 1 Tm 3.13
Dy  0.3443  0.8443  0.2718  1 Pm 3.02, 1 Tm 3.13
Dy  0.5000  0.5000  0.0000  4 Pm 3.52, 8 Dy 3.78, 2 La 3.86
Dy  0.0000  0.0000  0.0000  4 Pm 3.52, 8 Dy 3.78, 2 La 3.86
Tm  0.2500  0.7500  0.5000  4 Dy 3.13
Tm  0.7500  0.2500  0.5000  4 Dy 3.13

## Properties
**E_tot**: -79.0 eV for the cell shown
**SG**: I4/mcm, No. 140
**M_tot**: 0.0 μB/f.u.
**Fermi-level density of states**: 10.4 states/eV/f.u.

---

The following is a GGA-PBE calculation of an optimized crystal structure of LaPmDy2Tm2, from Alexandria.

a = 3.5624 Å, b = 16.0379 Å, c = 6.9760 Å
α = 90.00°, β = 90.00°, γ = 90.00°
Last column: nearest neighbours and their distance in Å.
Sites, in units of the cell vectors:
La  0.0000  0.0000  0.0000  2 Pm 3.49, 4 Tm 3.55, 2 La 3.56, 4 Dy 3.57
La  0.5000  0.5000  0.5000  2 Pm 3.49, 4 Tm 3.55, 2 La 3.56, 4 Dy 3.57
Pm  0.5000  0.5000  0.0000  2 La 3.49, 4 Tm 3.54, 2 Pm 3.56, 4 Dy 3.57
Pm  0.0000  0.0000  0.5000  2 La 3.49, 4 Tm 3.54, 2 Pm 3.56, 4 Dy 3.57
Dy  0.5000  0.8407  0.2509  4 Tm 3.44-3.50, 2 Dy 3.56, 2 Pm 3.57, 2 La 3.57
Dy  0.5000  0.1593  0.7491  4 Tm 3.44-3.50, 2 Dy 3.56, 2 Pm 3.57, 2 La 3.57
Dy  0.0000  0.6593  0.7509  4 Tm 3.44-3.50, 2 Dy 3.56, 2 Pm 3.57, 2 La 3.57
Dy  0.0000  0.3407  0.2491  4 Tm 3.44-3.50, 2 Dy 3.56, 2 Pm 3.57, 2 La 3.57
Tm  0.5000  0.1572  0.2502  4 Dy 3.44-3.50, 2 Pm 3.54, 2 La 3.55, 2 Tm 3.56
Tm  0.0000  0.6572  0.2498  4 Dy 3.44-3.50, 2 Pm 3.54, 2 La 3.55, 2 Tm 3.56
Tm  0.5000  0.8428  0.7498  4 Dy 3.44-3.50, 2 Pm 3.54, 2 La 3.55, 2 Tm 3.56
Tm  0.0000  0.3428  0.7502  4 Dy 3.44-3.50, 2 Pm 3.54, 2 La 3.55, 2 Tm 3.56

## Properties
**E_tot**: -53.5 eV for the cell shown
**SG**: Pnnm, No. 58
**M_tot**: 0.0 μB/f.u.
**Fermi-level density of states**: 9.5 states/eV/f.u.

---

The following is a GGA-PBE calculation of an optimized crystal structure of La3PmDy6Tm2, from Alexandria.

a = 6.2273 Å, b = 6.2273 Å, c = 11.8921 Å
α = 95.01°, β = 95.01°, γ = 120.01°
Last column: nearest neighbours and their distance in Å.
Sites, in units of the cell vectors:
La  0.1668  0.8332  0.5000  6 La 3.59-3.60, 6 Dy 3.64
La  0.8332  0.1668  0.5000  6 La 3.59-3.60, 6 Dy 3.64
La  0.5000  0.5000  0.5000  6 La 3.59-3.60, 6 Dy 3.64-3.65
Pm  0.0000  0.0000  0.0000  6 Dy 3.54, 6 Tm 3.59-3.60
Dy  0.9188  0.5845  0.7557  2 Tm 3.53, 1 Pm 3.54, 6 Dy 3.59-3.61, 3 La 3.64-3.65
Dy  0.7470  0.7470  0.2445  2 Tm 3.53, 1 Pm 3.54, 6 Dy 3.59-3.60, 3 La 3.64
Dy  0.0812  0.4155  0.2443  2 Tm 3.53, 1 Pm 3.54, 6 Dy 3.59-3.61, 3 La 3.64-3.65
Dy  0.5845  0.9188  0.7557  2 Tm 3.53, 1 Pm 3.54, 6 Dy 3.59-3.61, 3 La 3.64-3.65
Dy  0.2530  0.2530  0.7555  2 Tm 3.53, 1 Pm 3.54, 6 Dy 3.59-3.60, 3 La 3.64
Dy  0.4155  0.0812  0.2443  2 Tm 3.53, 1 Pm 3.54, 6 Dy 3.59-3.61, 3 La 3.64-3.65
Tm  0.3332  0.6668  0.0000  6 Dy 3.53, 3 Tm 3.59-3.60, 3 Pm 3.59-3.60
Tm  0.6668  0.3332  0.0000  6 Dy 3.53, 3 Tm 3.59-3.60, 3 Pm 3.59-3.60

## Properties
**E_tot**: -55.8 eV for the cell shown
**SG**: C2/m, No. 12
**M_tot**: 0.0 μB/f.u.
**Fermi-level density of states**: 16.6 states/eV/f.u.

---

The following is a GGA-PBE calculation of an optimized crystal structure of La2PmDyTm2, from Alexandria.

a = 5.7737 Å, b = 6.3604 Å, c = 11.0165 Å
α = 90.00°, β = 90.00°, γ = 90.00°
Last column: nearest neighbours and their distance in Å.
Sites, in units of the cell vectors:
La  0.5000  0.1778  0.0842  4 La 3.57-3.68, 5 Tm 3.59-3.70, 3 Dy 3.67-3.72
La  0.0000  0.3427  0.2503  2 La 3.57, 2 Dy 3.58, 5 Tm 3.61-3.70, 3 Pm 3.65-3.70
La  0.5000  0.6778  0.9158  4 La 3.57-3.68, 5 Tm 3.59-3.70, 3 Dy 3.67-3.72
La  0.0000  0.8427  0.7497  2 La 3.57, 2 Dy 3.58, 5 Tm 3.61-3.70, 3 Pm 3.65-3.70
Pm  0.0000  0.8377  0.4173  2 Dy 3.56, 5 Tm 3.56-3.66, 3 La 3.65-3.70, 2 Pm 3.66
Pm  0.0000  0.3377  0.5827  2 Dy 3.56, 5 Tm 3.56-3.66, 3 La 3.65-3.70, 2 Pm 3.66
Dy  0.5000  0.1754  0.7467  2 Pm 3.56, 5 La 3.58-3.72, 5 Tm 3.59-3.70
Dy  0.5000  0.6754  0.2533  2 Pm 3.56, 5 La 3.58-3.72, 5 Tm 3.59-3.70
Tm  0.0000  0.3411  0.9148  2 Dy 3.59, 7 La 3.59-3.70, 1 Pm 3.66, 2 Tm 3.69
Tm  0.5000  0.1709  0.4199  4 Pm 3.56-3.58, 3 Dy 3.60-3.70, 3 La 3.61-3.70, 2 Tm 3.64
Tm  0.0000  0.8411  0.0852  2 Dy 3.59, 7 La 3.59-3.70, 1 Pm 3.66, 2 Tm 3.69
Tm  0.5000  0.6709  0.5801  4 Pm 3.56-3.58, 3 Dy 3.60-3.70, 3 La 3.61-3.70, 2 Tm 3.64

## Properties
**E_tot**: -55.9 eV for the cell shown
**SG**: Pmc2_1, No. 26
**M_tot**: 0.0 μB/f.u.
**Fermi-level density of states**: 10.5 states/eV/f.u.

---

The following is a GGA-PBE calculation of an optimized crystal structure of La4Pm2DyTm2, from Alexandria.

a = 5.1920 Å, b = 8.1892 Å, c = 8.0864 Å
α = 107.62°, β = 90.00°, γ = 108.48°
Last column: nearest neighbours and their distance in Å.
Sites, in units of the cell vectors:
La  0.7765  0.5531  0.6699  3 Tm 3.59-3.63, 1 Dy 3.64, 3 Pm 3.64-3.69, 5 La 3.68-3.69
La  0.2235  0.4469  0.3301  3 Tm 3.59-3.63, 1 Dy 3.64, 3 Pm 3.64-3.69, 5 La 3.68-3.69
La  0.5541  0.1081  0.3274  2 Dy 3.61, 2 Tm 3.61-3.62, 4 Pm 3.66-3.70, 4 La 3.68-3.69
La  0.4459  0.8919  0.6726  2 Dy 3.61, 2 Tm 3.61-3.62, 4 Pm 3.66-3.70, 4 La 3.68-3.69
Pm  0.8878  0.7757  0.3291  3 Tm 3.60-3.62, 1 Dy 3.62, 7 La 3.64-3.70, 1 Pm 3.69
Pm  0.1122  0.2243  0.6709  3 Tm 3.60-3.62, 1 Dy 3.62, 7 La 3.64-3.70, 1 Pm 3.69
Dy  0.0000  0.0000  0.0000  6 La 3.61-3.64, 2 Pm 3.62, 4 Tm 3.68
Tm  0.3324  0.6647  0.0002  5 La 3.59-3.63, 3 Pm 3.60-3.62, 2 Tm 3.64, 2 Dy 3.68
Tm  0.6676  0.3353  0.9998  5 La 3.59-3.63, 3 Pm 3.60-3.62, 2 Tm 3.64, 2 Dy 3.68

## Properties
**E_tot**: -42.5 eV for the cell shown
**SG**: C2/m, No. 12
**M_tot**: 0.0 μB/f.u.
**Fermi-level density of states**: 16.2 states/eV/f.u.

---

The following is a GGA-PBE calculation of an optimized crystal structure of LaPm3Dy2Tm6, from Alexandria.

a = 6.1762 Å, b = 6.1762 Å, c = 11.7210 Å
α = 95.03°, β = 95.03°, γ = 119.99°
Last column: nearest neighbours and their distance in Å.
Sites, in units of the cell vectors:
La  0.0000  0.0000  0.0000  6 Tm 3.55, 6 Dy 3.56-3.57
Pm  0.1669  0.8331  0.5000  6 Tm 3.54-3.55, 6 Pm 3.56-3.57
Pm  0.8331  0.1669  0.5000  6 Tm 3.54-3.55, 6 Pm 3.56-3.57
Pm  0.5000  0.5000  0.5000  6 Tm 3.54-3.55, 6 Pm 3.56-3.57
Dy  0.3332  0.6668  0.0000  6 Tm 3.54, 3 La 3.56-3.57, 3 Dy 3.57
Dy  0.6668  0.3332  0.0000  6 Tm 3.54, 3 La 3.56-3.57, 3 Dy 3.57
Tm  0.9163  0.5818  0.7502  2 Dy 3.54, 3 Pm 3.54-3.55, 1 La 3.55, 6 Tm 3.56-3.58
Tm  0.7491  0.7491  0.2499  3 Pm 3.54-3.55, 2 Dy 3.54, 1 La 3.55, 6 Tm 3.56-3.58
Tm  0.0837  0.4182  0.2498  2 Dy 3.54, 3 Pm 3.54-3.55, 1 La 3.55, 6 Tm 3.56-3.58
Tm  0.5818  0.9163  0.7502  2 Dy 3.54, 3 Pm 3.54-3.55, 1 La 3.55, 6 Tm 3.56-3.58
Tm  0.2509  0.2509  0.7501  3 Pm 3.54-3.55, 2 Dy 3.54, 1 La 3.55, 6 Tm 3.56-3.58
Tm  0.4182  0.0837  0.2498  2 Dy 3.54, 3 Pm 3.54-3.55, 1 La 3.55, 6 Tm 3.56-3.58

## Properties
**E_tot**: -55.0 eV for the cell shown
**SG**: C2/m, No. 12
**M_tot**: 0.0 μB/f.u.
**Fermi-level density of states**: 14.2 states/eV/f.u.

---

The highest E_tot belongs to which entry?
LaPmDyTm